1.
RbCr2Cu after structural relaxation, computed with GGA-PBE. Values from VASP.

Structure (Quantum ESPRESSO input):
```
&SYSTEM
  ibrav = 0, nat = 4, ntyp = 3
/
ATOMIC_SPECIES
Cr 52.00 Cr.upf
Cu 63.55 Cu.upf
Rb 85.47 Rb.upf
CELL_PARAMETERS angstrom
-4.021 -0.255 3.071
-4.516 1.651 -1.597
-3.714 -3.311 -0.958
ATOMIC_POSITIONS crystal
Cr 0.750 0.750 0.750
Cu 0.000 0.000 0.000
Cr 0.250 0.250 0.250
Rb 0.500 0.500 0.500
```

Computed properties:
Energy of formation from the pure elements (eV per atom): 1.4287
DOS(E_F) (states/eV per atom): 0.463
Theoretical density (Mg/m³): 4.6
Distance to the lowest polymorph of the same formula (eV/f.u.): 0.750

=====

2.
ThTiSn after structural relaxation, computed with GGA-PBE. Values from VASP.

Structure (Quantum ESPRESSO input):
```
&SYSTEM
  ibrav = 0, nat = 12, ntyp = 3
/
ATOMIC_SPECIES
Th 232.04 Th.upf
Ti 47.87 Ti.upf
Sn 118.71 Sn.upf
CELL_PARAMETERS angstrom
-7.077 -1.680 -2.071
2.183 -1.705 -5.352
-1.512 -7.539 0.217
ATOMIC_POSITIONS crystal
Th 0.090 0.109 0.383
Ti 0.141 0.673 0.065
Sn 0.923 0.583 0.745
Sn 0.806 0.897 0.207
Th 0.684 0.384 0.213
Ti 0.847 0.016 0.825
Th 0.193 0.227 0.869
Th 0.465 0.800 0.631
Ti 0.465 0.466 0.994
Sn 0.652 0.285 0.643
Ti 0.470 0.960 0.054
Sn 0.272 0.601 0.372
```

Computed properties:
Energy of formation from the pure elements (eV per atom): -0.1110
DOS(E_F) (states/eV per atom): 1.080
Theoretical density (Mg/m³): 8.4

=====

3.
Pr4IrPb after structural relaxation, computed with GGA-PBE. Values from VASP.

Structure (Quantum ESPRESSO input):
```
&SYSTEM
  ibrav = 0, nat = 24, ntyp = 3
/
ATOMIC_SPECIES
Pr 140.91 Pr.upf
Ir 192.22 Ir.upf
Pb 207.20 Pb.upf
CELL_PARAMETERS angstrom
-5.465 -6.299 -5.769
2.763 -9.713 -0.924
-5.569 -7.289 4.323
ATOMIC_POSITIONS crystal
Pr 0.196 0.804 0.196
Ir 0.608 0.608 0.176
Pb 0.161 0.516 0.161
Pr 0.402 0.795 0.402
Pb 0.161 0.161 0.161
Ir 0.608 0.608 0.608
Pr 0.940 0.560 0.560
Pr 0.560 0.940 0.940
Pr 0.196 0.804 0.804
Pb 0.516 0.161 0.161
Pr 0.804 0.196 0.196
Pr 0.402 0.402 0.402
Ir 0.176 0.608 0.608
Pr 0.804 0.196 0.804
Pr 0.940 0.940 0.560
Pr 0.196 0.196 0.804
Pr 0.560 0.560 0.940
Pr 0.804 0.804 0.196
Pb 0.161 0.161 0.516
Pr 0.402 0.402 0.795
Pr 0.940 0.560 0.940
Ir 0.608 0.176 0.608
Pr 0.795 0.402 0.402
Pr 0.560 0.940 0.560
```

Computed properties:
Energy of formation from the pure elements (eV per atom): -0.4721
DOS(E_F) (states/eV per atom): 0.957
Theoretical density (Mg/m³): 8.7
Distance to the lowest polymorph of the same formula (eV/f.u.): 0.000

=====

4.
KCo2PbBr8 after structural relaxation, computed with GGA-PBE. Values from VASP.

Structure (Quantum ESPRESSO input):
```
&SYSTEM
  ibrav = 0, nat = 12, ntyp = 4
/
ATOMIC_SPECIES
Br 79.90 Br.upf
Co 58.93 Co.upf
Pb 207.20 Pb.upf
K 39.10 K.upf
CELL_PARAMETERS angstrom
6.931 0.000 0.000
3.466 6.003 0.000
3.466 2.001 9.953
ATOMIC_POSITIONS crystal
Br 0.170 0.170 0.490
Br 0.416 0.702 0.818
Co 0.752 0.752 0.743
Pb 0.000 0.000 0.000
Co 0.248 0.248 0.257
Br 0.063 0.416 0.818
K 0.500 0.500 0.500
Br 0.830 0.830 0.510
Br 0.702 0.063 0.818
Br 0.584 0.298 0.182
Br 0.298 0.937 0.182
Br 0.937 0.584 0.182
```

Computed properties:
Formation energy (no corrections) (eV/f.u.): -8.1
DOS(E_F) (states/eV per atom): 1.012
Theoretical density (Mg/m³): 4.0

=====

5.
Y2Ga4Cu3Hg after structural relaxation, computed with GGA-PBE. Values from VASP.

Structure (Quantum ESPRESSO input):
```
&SYSTEM
  ibrav = 0, nat = 10, ntyp = 4
/
ATOMIC_SPECIES
Cu 63.55 Cu.upf
Y 88.91 Y.upf
Ga 69.72 Ga.upf
Hg 200.59 Hg.upf
CELL_PARAMETERS angstrom
-3.802 -1.116 1.284
-0.764 -1.688 -3.730
3.858 -9.238 3.391
ATOMIC_POSITIONS crystal
Cu 0.000 0.000 0.500
Y 0.000 0.500 0.760
Ga 0.000 0.000 0.000
Ga 0.500 0.000 0.652
Cu 0.500 0.000 0.874
Cu 0.000 0.500 0.126
Ga 0.000 0.500 0.348
Ga 0.500 0.500 0.000
Y 0.500 0.000 0.240
Hg 0.500 0.500 0.500
```

Computed properties:
Energy of formation from the pure elements (eV per atom): -0.3976
DOS(E_F) (states/eV per atom): 0.536
Theoretical density (Mg/m³): 7.7

=====

6.
PrEr2Sb after structural relaxation, computed with GGA-PBE. Values from VASP.

Structure (Quantum ESPRESSO input):
```
&SYSTEM
  ibrav = 0, nat = 4, ntyp = 3
/
ATOMIC_SPECIES
Er 167.26 Er.upf
Sb 121.76 Sb.upf
Pr 140.91 Pr.upf
CELL_PARAMETERS angstrom
5.403 0.000 0.000
2.701 4.679 0.000
2.701 1.560 4.409
ATOMIC_POSITIONS crystal
Er 0.750 0.750 0.750
Sb 0.500 0.500 0.500
Er 0.250 0.250 0.250
Pr 0.000 0.000 0.000
```

Computed properties:
Formation energy (no corrections) (eV/f.u.): -0.9
DOS(E_F) (states/eV per atom): 1.343
Theoretical density (Mg/m³): 8.9
Distance to the lowest polymorph of the same formula (eV/f.u.): 1.331

=====

7.
SmCoB after structural relaxation, computed with GGA-PBE. Values from VASP.

Structure (Quantum ESPRESSO input):
```
&SYSTEM
  ibrav = 0, nat = 6, ntyp = 3
/
ATOMIC_SPECIES
Co 58.93 Co.upf
B 10.81 B.upf
Sm 150.36 Sm.upf
CELL_PARAMETERS angstrom
3.564 0.000 -0.001
0.000 3.564 0.000
0.001 0.001 7.860
ATOMIC_POSITIONS crystal
Co 0.250 0.250 0.000
B 0.750 0.250 0.121
Co 0.750 0.750 0.000
Sm 0.250 0.750 0.297
Sm 0.750 0.250 0.703
B 0.250 0.750 0.879
```

Computed properties:
Energy of formation from the pure elements (eV per atom): -0.4335
DOS(E_F) (states/eV per atom): 0.797
Theoretical density (Mg/m³): 7.3
Distance to the lowest polymorph of the same formula (eV/f.u.): 0.000

=====

8.
AcThAu2 after structural relaxation, computed with GGA-PBE. Values from VASP.

Structure (Quantum ESPRESSO input):
```
&SYSTEM
  ibrav = 0, nat = 8, ntyp = 3
/
ATOMIC_SPECIES
Th 232.04 Th.upf
Ac 227.00 Ac.upf
Au 196.97 Au.upf
CELL_PARAMETERS angstrom
4.828 0.000 0.000
0.000 5.839 -1.969
0.000 -0.274 8.206
ATOMIC_POSITIONS crystal
Th 0.750 0.763 0.321
Ac 0.750 0.788 0.818
Au 0.250 0.688 0.535
Au 0.250 0.661 0.054
Au 0.750 0.339 0.946
Th 0.250 0.237 0.679
Ac 0.250 0.212 0.182
Au 0.750 0.312 0.465
```

Computed properties:
Energy of formation from the pure elements (eV per atom): -0.6732
DOS(E_F) (states/eV per atom): 0.863
Theoretical density (Mg/m³): 12.4
Distance to the lowest polymorph of the same formula (eV/f.u.): 0.000